(1)
{
  "formula": "NdZn9Ir2",
  "functional": "PBE-GGA",
  "state": "optimized geometry",
  "lattice": [[-5.2867, 5.2867, 3.4870], [5.2867, -5.2867, 3.4870], [5.2867, 5.2867, -3.4870]],
  "species": ["Nd", "Nd", "Zn", "Zn", "Zn", "Zn", "Zn", "Zn", "Zn", "Zn", "Zn", "Zn", "Zn", "Zn", "Zn", "Zn", "Zn", "Zn", "Zn", "Zn", "Ir", "Ir", "Ir", "Ir"],
  "frac_coords": [[0.3750, 0.6250, 0.7500], [0.6250, 0.3750, 0.2500], [0.1250, 0.8750, 0.2500], [0.1390, 0.5602, 0.3353], [0.1390, 0.8037, 0.5788], [0.1963, 0.2751, 0.3353], [0.1963, 0.8610, 0.9212], [0.2751, 0.1963, 0.8353], [0.2751, 0.4398, 0.0788], [0.4398, 0.2751, 0.5788], [0.4398, 0.8610, 0.1647], [0.5602, 0.1390, 0.8353], [0.5602, 0.7249, 0.4212], [0.7249, 0.5602, 0.9212], [0.7249, 0.8037, 0.1647], [0.8037, 0.1390, 0.0788], [0.8037, 0.7249, 0.6647], [0.8610, 0.1963, 0.4212], [0.8610, 0.4398, 0.6647], [0.8750, 0.1250, 0.7500], [0.0000, 0.0000, 0.0000], [0.0000, 0.0000, 0.5000], [0.0000, 0.5000, 0.0000], [0.5000, 0.0000, 0.5000]],
  "magnetic_moment_mub_per_cell": 0.0,
  "formation_enthalpy_0k_mev_per_atom": -285
}

(2)
{
  "formula": "NdZn9Ir2",
  "functional": "PBE-GGA",
  "state": "optimized geometry",
  "lattice": [[8.7152, 0.0000, 0.0000], [-4.3576, 7.5476, 0.0000], [0.0000, 0.0000, 3.0597]],
  "species": ["Nd", "Zn", "Zn", "Zn", "Zn", "Zn", "Zn", "Zn", "Zn", "Zn", "Ir", "Ir"],
  "frac_coords": [[0.0000, 0.0000, 0.0000], [0.0000, 0.5000, 0.0000], [0.1881, 0.3762, 0.5000], [0.1881, 0.8119, 0.5000], [0.3762, 0.1881, 0.5000], [0.5000, 0.0000, 0.0000], [0.5000, 0.5000, 0.0000], [0.6238, 0.8119, 0.5000], [0.8119, 0.1881, 0.5000], [0.8119, 0.6238, 0.5000], [0.3333, 0.6667, 0.0000], [0.6667, 0.3333, 0.0000]],
  "magnetic_moment_mub_per_cell": 0.0,
  "formation_enthalpy_0k_mev_per_atom": -193
}

(3)
{
  "formula": "Nd2Zn16Ir",
  "functional": "PBE-GGA",
  "state": "optimized geometry",
  "lattice": [[4.5177, 2.6083, 4.4235], [-4.5177, 2.6083, 4.4235], [0.0000, -5.2166, 4.4235]],
  "species": ["Nd", "Nd", "Zn", "Zn", "Zn", "Zn", "Zn", "Zn", "Zn", "Zn", "Zn", "Zn", "Zn", "Zn", "Zn", "Zn", "Zn", "Zn", "Ir"],
  "frac_coords": [[0.0000, 0.0000, 0.0000], [0.3294, 0.3294, 0.3294], [0.0133, 0.0133, 0.5004], [0.0133, 0.5004, 0.0133], [0.1664, 0.6555, 0.6555], [0.3121, 0.3121, 0.8144], [0.3121, 0.8144, 0.3121], [0.3727, 0.6585, 0.9446], [0.3727, 0.9446, 0.6585], [0.5004, 0.0133, 0.0133], [0.6555, 0.1664, 0.6555], [0.6555, 0.6555, 0.1664], [0.6585, 0.3727, 0.9446], [0.6585, 0.9446, 0.3727], [0.7608, 0.7608, 0.7608], [0.8144, 0.3121, 0.3121], [0.9446, 0.3727, 0.6585], [0.9446, 0.6585, 0.3727], [0.5614, 0.5614, 0.5614]],
  "magnetic_moment_mub_per_cell": 0.0,
  "formation_enthalpy_0k_mev_per_atom": -269
}

(4)
{
  "formula": "Nd3Zn9Ir2",
  "functional": "PBE-GGA",
  "state": "optimized geometry",
  "lattice": [[-2.1474, 4.5604, 6.6390], [2.1474, -4.5604, 6.6390], [2.1474, 4.5604, -6.6390]],
  "species": ["Nd", "Nd", "Nd", "Zn", "Zn", "Zn", "Zn", "Zn", "Zn", "Zn", "Zn", "Zn", "Ir", "Ir"],
  "frac_coords": [[0.0000, 0.0000, 0.0000], [0.3109, 0.3109, 0.0000], [0.6891, 0.6891, 0.0000], [0.0264, 0.6687, 0.3577], [0.1566, 0.8756, 0.2810], [0.3110, 0.6687, 0.6423], [0.4055, 0.1244, 0.2810], [0.5000, 0.0000, 0.5000], [0.5945, 0.8756, 0.7190], [0.6890, 0.3313, 0.3577], [0.8434, 0.1244, 0.7190], [0.9736, 0.3313, 0.6423], [0.2935, 0.5000, 0.7935], [0.7065, 0.5000, 0.2065]],
  "magnetic_moment_mub_per_cell": 0.0,
  "formation_enthalpy_0k_mev_per_atom": -379
}

Q: What is the formula in the first record?
A: NdZn9Ir2